[1]
DFT (GGA-PBE) results for a relaxed Al2CoBr crystal.

Theoretical density (Mg/m³): 3.562
Space-group type: P4mm, No. 99
VASP energy (eV per atom): -4.04
Spin magnetization (Bohr magnetons per cell): 0.0
Formation energy (no corrections) (meV/atom): 21.5

a = 3.3457 Å, b = 3.3457 Å, c = 8.0290 Å
α = 90.00°, β = 90.00°, γ = 90.00°
With the nearest neighbours (Å) after each atom.
Fractional coordinates of all 4 atoms:
Al: 0.0000 0.0000 0.0000  4 Co 2.37
Al: 0.5000 0.5000 0.2746  1 Co 2.21
Co: 0.5000 0.5000 0.9991  5 Al 2.21-2.37
Br: 0.0000 0.0000 0.4599  4 Al 2.79

***

[2]
DFT (GGA-PBE) results for a relaxed Rb2NbCuSe4 crystal.

Theoretical density (Mg/m³): 4.092
Space-group type: Fddd, No. 70
VASP energy (eV per atom): -4.72
Spin magnetization (Bohr magnetons per cell): 0.0
Formation energy (no corrections) (meV/atom): -961.7

a = 14.4922 Å, b = 12.9106 Å, c = 7.7457 Å
α = 85.22°, β = 62.59°, γ = 32.18°
With the nearest neighbours (Å) after each atom.
Fractional coordinates of all 16 atoms:
Rb: 0.0538 0.0538 0.6962  8 Se 3.63-3.86
Rb: 0.3038 0.3038 0.9462  8 Se 3.63-3.86
Rb: 0.6962 0.6962 0.0538  8 Se 3.63-3.86
Rb: 0.9462 0.9462 0.3038  8 Se 3.63-3.86
Nb: 0.3750 0.3750 0.3750  4 Se 2.44
Nb: 0.6250 0.6250 0.6250  4 Se 2.44
Cu: 0.1250 0.1250 0.1250  4 Se 2.46
Cu: 0.8750 0.8750 0.8750  4 Se 2.46
Se: 0.0252 0.3350 0.4212  1 Nb 2.44, 1 Cu 2.46
Se: 0.2814 0.5788 0.6650  1 Nb 2.44, 1 Cu 2.46
Se: 0.3350 0.0252 0.7186  1 Nb 2.44, 1 Cu 2.46
Se: 0.4212 0.7186 0.0252  1 Nb 2.44, 1 Cu 2.46
Se: 0.5788 0.2814 0.9748  1 Nb 2.44, 1 Cu 2.46
Se: 0.6650 0.9748 0.2814  1 Nb 2.44, 1 Cu 2.46
Se: 0.7186 0.4212 0.3350  1 Nb 2.44, 1 Cu 2.46
Se: 0.9748 0.6650 0.5788  1 Nb 2.44, 1 Cu 2.46

***

[3]
DFT (GGA-PBE) results for a relaxed Te2HWI crystal.

Theoretical density (Mg/m³): 5.795
Space-group type: P4/mmm, No. 123
VASP energy (eV per atom): -3.96
Spin magnetization (Bohr magnetons per cell): 1.8

a = 5.2527 Å, b = 5.2527 Å, c = 5.8881 Å
α = 90.00°, β = 90.00°, γ = 90.00°
With the nearest neighbours (Å) after each atom.
Fractional coordinates of all 5 atoms:
Te: 0.0000 0.5000 0.0000  2 W 2.63
Te: 0.5000 0.0000 0.0000  2 W 2.63
H: 0.0000 0.0000 0.5000  4 I 3.71, 8 Te 3.95
W: 0.5000 0.5000 0.0000  4 Te 2.63
I: 0.5000 0.5000 0.5000  2 W 2.94

***

[4]
DFT (GGA-PBE) results for a relaxed SrMg2Zn9 crystal.

Theoretical density (Mg/m³): 5.662
Calculated formation energy (eV/atom): -0.16
Space-group type: R-3m, No. 166
VASP energy (eV per atom): -1.52
Spin magnetization (Bohr magnetons per cell): 0.0

a = 9.0141 Å, b = 9.0141 Å, c = 9.0141 Å
α = 34.77°, β = 34.77°, γ = 34.77°
With the nearest neighbours (Å) after each atom.
Fractional coordinates of all 12 atoms:
Sr: 0.0000 0.0000 0.0000  18 Zn 3.11-3.47
Mg: 0.1430 0.1430 0.1430  12 Zn 3.05-3.17, 3 Mg 3.33
Mg: 0.8570 0.8570 0.8570  12 Zn 3.05-3.17, 3 Mg 3.33
Zn: 0.0798 0.5896 0.5896  7 Zn 2.58-2.75
Zn: 0.3342 0.3342 0.3342  6 Zn 2.69
Zn: 0.4104 0.4104 0.9202  7 Zn 2.58-2.75
Zn: 0.4104 0.9202 0.4104  7 Zn 2.58-2.75
Zn: 0.5000 0.5000 0.5000  6 Zn 2.58
Zn: 0.5896 0.0798 0.5896  7 Zn 2.58-2.75
Zn: 0.5896 0.5896 0.0798  7 Zn 2.58-2.75
Zn: 0.6658 0.6658 0.6658  6 Zn 2.69
Zn: 0.9202 0.4104 0.4104  7 Zn 2.58-2.75